## Ca2Be2Au (PBE)

Data for Ca2Be2Au after structural relaxation.

Summary:
VASP energy, eV per atom: -2.959
DOS(E_F), states/eV/cell: 7.0

Unit cell a=6.682 b=6.682 c=4.460 alpha=90.00 beta=90.00 gamma=90.00
Space group P4/mbm (No. 127)
Symmetry-distinct sites (fractional):
Ca 0.185 0.315 0.000 [4 per cell]
Be 0.114 0.614 0.500 [4 per cell]
Au 0.000 0.000 0.500 [2 per cell]

=====

## CaBeAu2 (PBE)

Data for CaBeAu2 after structural relaxation.

Summary:
VASP energy, eV per atom: -3.478
DOS(E_F), states/eV/cell: 3.1

Unit cell a=7.413 b=4.268 c=5.713 alpha=90.00 beta=115.38 gamma=90.00
Space group C2/m (No. 12)
Symmetry-distinct sites (fractional):
Ca 0.000 0.000 0.000 [2 per cell]
Be 0.000 0.500 0.500 [2 per cell]
Au 0.208 0.000 0.625 [4 per cell]

=====

## CaBeAu (PBE)

Data for CaBeAu after structural relaxation.

Summary:
Energy relative to the lowest polymorph listed for this composition, kJ/mol of atoms: 16.1
DOS(E_F), states/eV/cell: 5.8

Unit cell a=4.122 b=14.554 c=4.529 alpha=90.00 beta=90.00 gamma=90.00
Space group Cmcm (No. 63)
Symmetry-distinct sites (fractional):
Ca 0.000 0.148 0.250 [4 per cell]
Be 0.000 0.500 0.000 [4 per cell]
Au 0.000 0.362 0.250 [4 per cell]

=====

## CaBeAu2 (PBE)

Data for CaBeAu2 after structural relaxation.

Summary:
VASP energy, eV per atom: -3.454
DOS(E_F), states/eV/cell: 3.5

Unit cell a=7.760 b=3.951 c=5.823 alpha=90.00 beta=113.59 gamma=90.00
Space group Cm (No. 8)
Symmetry-distinct sites (fractional):
Ca 0.000 0.000 0.000 [2 per cell]
Be 0.227 0.000 0.571 [2 per cell]
Au 0.069 0.500 0.641 [2 per cell]
Au 0.299 0.500 0.375 [2 per cell]

=====

## CaBeAu2 (PBE)

Data for CaBeAu2 after structural relaxation.

Summary:
VASP energy, eV per atom: -3.232
DOS(E_F), states/eV/cell: 2.5

Unit cell a=4.189 b=4.189 c=8.426 alpha=90.00 beta=90.00 gamma=90.00
Space group I-4m2 (No. 119)
Symmetry-distinct sites (fractional):
Ca 0.000 0.000 0.000 [2 per cell]
Be 0.000 0.500 0.250 [2 per cell]
Au 0.000 0.000 0.500 [2 per cell]
Au 0.000 0.500 0.750 [2 per cell]

=====

## CaBeAu (PBE)

Data for CaBeAu after structural relaxation.

Summary:
Energy relative to the lowest polymorph listed for this composition, kJ/mol of atoms: 16.2
DOS(E_F), states/eV/cell: 3.5

Unit cell a=3.279 b=3.279 c=10.576 alpha=90.00 beta=90.00 gamma=90.00
Space group I4mm (No. 107)
Symmetry-distinct sites (fractional):
Ca 0.000 0.000 0.000 [2 per cell]
Be 0.000 0.000 0.709 [2 per cell]
Au 0.000 0.000 0.290 [2 per cell]

=====

## CaBe4Au12 (PBE)

Data for CaBe4Au12 after structural relaxation.

Summary:
VASP energy, eV per atom: -3.410
DOS(E_F), states/eV/cell: 6.3

Unit cell a=8.447 b=8.447 c=8.447 alpha=90.00 beta=90.00 gamma=90.00
Space group Im-3 (No. 204)
Symmetry-distinct sites (fractional):
Ca 0.000 0.000 0.000 [2 per cell]
Be 0.250 0.250 0.250 [8 per cell]
Au 0.000 0.332 0.171 [24 per cell]

=====

## CaBeAu2 (PBE)

Data for CaBeAu2 after structural relaxation.

Summary:
VASP energy, eV per atom: -3.305
DOS(E_F), states/eV/cell: 9.5

Unit cell a=5.152 b=5.152 c=14.675 alpha=90.00 beta=90.00 gamma=90.00
Space group I-42d (No. 122)
Symmetry-distinct sites (fractional):
Ca 0.000 0.000 0.000 [4 per cell]
Be 0.000 0.000 0.500 [4 per cell]
Au 0.089 0.250 0.625 [8 per cell]